Here is a relaxed structure of PmCuRu from Alexandria. Energies are from GGA-PBE.

Cell and atoms, written as POSCAR:
```
PmCuRu
1.0
-2.602 2.630 3.948
2.602 -2.630 3.948
2.602 2.630 -3.948
Pm Cu Ru
2 2 2
Direct
0.378 0.128 0.250
0.622 0.872 0.750
0.000 0.000 0.500
0.000 0.500 0.000
0.000 0.500 0.500
0.500 0.500 0.000
```

Values from the calculation:
polymorph energy (0 for the lowest one)	0.0	meV/atom
calculated formation energy	-0.21	eV per atom
DFT total energy	-6.2525	eV/atom